This record from Alexandria via LeMat-Bulk describes an optimized crystal structure of FeSbPb2. The functional is PBEsol.

a b c (Å): 3.2973 3.2973 8.4091
angles (deg): 90.00 90.00 90.00
Positions (direct):
Fe  0.0000  0.0000  0.0000
Sb  0.5000  0.5000  0.1514
Pb  0.0000  0.0000  0.4518
Pb  0.5000  0.5000  0.7733

- Uncorrected formation energy: 87 kJ/mol of formula units
- Total magnetization: 0.413 μB/atom


This record from Alexandria via LeMat-Bulk describes an optimized crystal structure of FeSbPb2. The functional is PBEsol.

a b c (Å): 5.7064 5.7064 5.7064
angles (deg): 133.09 133.09 68.51
Positions (direct):
Fe  0.0000  0.0000  0.0000
Sb  0.2500  0.7500  0.5000
Pb  0.5000  0.5000  0.0000
Pb  0.7500  0.2500  0.5000

- Uncorrected formation energy: 221 kJ/mol of formula units
- Total magnetization: 0.721 μB/atom


This record from Alexandria via LeMat-Bulk describes an optimized crystal structure of TaFeSb2Pb. The functional is PBEsol.

a b c (Å): 4.7722 4.7722 4.8510
angles (deg): 90.00 90.00 90.00
Positions (direct):
Ta  0.0000  0.0000  0.0000
Fe  0.0000  0.0000  0.5000
Sb  0.0000  0.5000  0.5000
Sb  0.5000  0.0000  0.5000
Pb  0.5000  0.5000  0.0000

- Uncorrected formation energy: 287 kJ/mol of formula units
- Total magnetization: 0.005 μB/atom


| no. | density of states at the Fermi level (states/eV/cell) |
| --- | --- |
| 1 | 4.0 |
| 2 | 5.4 |
| 3 | 4.3 |